Entry 1:
The following is a DFT calculation (PBE) of a relaxed Ac3MnAs crystal.

Cell lengths 5.4069, 5.4069, 5.4069 Å; angles 90.00, 90.00, 90.00 degrees
Closest atoms and distances in Å follow each position.
Element x y z (fractional)
As (0.5000, 0.5000, 0.5000)  12 Ac 3.82
Ac (0.5000, 0.0000, 0.0000)  2 Mn 2.70
Ac (0.0000, 0.0000, 0.5000)  2 Mn 2.70
Ac (0.0000, 0.5000, 0.0000)  2 Mn 2.70
Mn (0.0000, 0.0000, 0.0000)  6 Ac 2.70


Entry 2:
The following is a DFT calculation (PBE) of a relaxed AcMnAs3 crystal.

Cell lengths 4.8617, 4.8617, 4.8617 Å; angles 90.00, 90.00, 90.00 degrees
Closest atoms and distances in Å follow each position.
Element x y z (fractional)
As (0.5000, 0.0000, 0.0000)  2 Mn 2.43
As (0.0000, 0.5000, 0.0000)  2 Mn 2.43
As (0.0000, 0.0000, 0.5000)  2 Mn 2.43
Ac (0.5000, 0.5000, 0.5000)  12 As 3.44
Mn (0.0000, 0.0000, 0.0000)  6 As 2.43


Entry 3:
The following is a DFT calculation (PBE) of a relaxed Ac2MnAs crystal.

Cell lengths 3.9506, 5.4148, 5.4148 Å; angles 90.00, 90.00, 90.00 degrees
Closest atoms and distances in Å follow each position.
Element x y z (fractional)
Mn (0.5000, 0.5000, 0.5000)  8 Ac 3.35
Ac (0.0000, 0.5000, 0.0000)  4 Mn 3.35, 4 As 3.35
Ac (0.0000, 0.0000, 0.5000)  4 Mn 3.35, 4 As 3.35
As (0.5000, 0.0000, 0.0000)  8 Ac 3.35

Results
energy above the lowest structure with this stoichiometry: 0.000 eV/f.u.


Q: Which DFT formation energy values were calculated for the entries above? A: -0.092 -0.484 -0.311, in eV/atom.